Entry from Alexandria via LeMat-Bulk: a geometry-optimized Sb2OsPb structure (GGA-PBE).

As for the electronic total energy: -5.42 eV per atom. The formation energy without anion corrections comes out at 0.37 eV per atom. As for the density of states at the Fermi level: 2.182 states/eV/f.u.

Unit cell a=3.2545 b=3.2545 c=9.1151 alpha=90.00 beta=90.00 gamma=90.00
Space group P4mm (No. 99)
Asymmetric unit:
Sb 0.0000 0.0000 0.0000 x1
Sb 0.5000 0.5000 0.3086 x1
Os 0.0000 0.0000 0.4707 x1
Pb 0.5000 0.5000 0.6929 x1



Entry from Alexandria via LeMat-Bulk: a geometry-optimized Cr3Ir4Rh12 structure (GGA-PBE).

As for the electronic total energy: -7.39 eV per atom. The formation energy is 0.640 eV/atom. As for the density of states at the Fermi level: 24.353 states/eV/f.u.

Unit cell a=9.2230 b=9.2230 c=9.2230 alpha=90.00 beta=90.00 gamma=90.00
Space group Im-3 (No. 204)
Asymmetric unit:
Cr 0.0000 0.0000 0.5000 x6
Ir 0.2500 0.2500 0.2500 x8
Rh 0.0000 0.3603 0.2715 x24



Entry from Alexandria via LeMat-Bulk: a geometry-optimized LiHgMo2 structure (GGA-PBE).

As for the electronic total energy: -5.49 eV per atom. The formation energy is 0.475 eV/atom. As for the density of states at the Fermi level: 2.281 states/eV/f.u.

Unit cell a=4.1524 b=4.1524 c=7.5471 alpha=90.00 beta=90.00 gamma=90.00
Space group I-4m2 (No. 119)
Asymmetric unit:
Li 0.0000 0.0000 0.0000 x2
Hg 0.0000 0.5000 0.2500 x2
Mo 0.0000 0.0000 0.5000 x2
Mo 0.0000 0.5000 0.7500 x2



Entry from Alexandria via LeMat-Bulk: a geometry-optimized VTcRuRh2 structure (GGA-PBE).

As for the electronic total energy: -7.14 eV per atom. The formation energy is 1.555 eV/atom. As for the density of states at the Fermi level: 10.390 states/eV/f.u.

Unit cell a=4.6279 b=4.6279 c=4.5715 alpha=90.00 beta=90.00 gamma=90.00
Space group P4/mmm (No. 123)
Asymmetric unit:
V 0.0000 0.0000 0.0000 x1
Tc 0.5000 0.5000 0.5000 x1
Ru 0.5000 0.5000 0.0000 x1
Rh 0.0000 0.5000 0.5000 x2



Entry from Alexandria via LeMat-Bulk: a geometry-optimized CuSbSeS structure (GGA-PBE).

As for the electronic total energy: -4.03 eV per atom. The formation energy without anion corrections comes out at -0.07 eV per atom.

Unit cell a=7.7734 b=4.4993 c=6.3545 alpha=90.00 beta=113.99 gamma=90.00
Space group Cm (No. 8)
Asymmetric unit:
Cu 0.0000 0.0000 0.0000 x2
Sb 0.0082 0.5000 0.5269 x2
Se 0.3607 0.0000 0.0821 x2
S 0.3669 0.5000 0.6020 x2



Entry from Alexandria via LeMat-Bulk: a geometry-optimized CaYRe2Te structure (GGA-PBE).

As for the electronic total energy: -5.14 eV per atom. The formation energy without anion corrections comes out at 2.16 eV per atom. As for the density of states at the Fermi level: 5.930 states/eV/f.u.

Unit cell a=4.7321 b=4.7321 c=5.4767 alpha=90.00 beta=90.00 gamma=90.00
Space group P4/mmm (No. 123)
Asymmetric unit:
Ca 0.0000 0.0000 0.0000 x1
Y 0.0000 0.0000 0.5000 x1
Re 0.0000 0.5000 0.0000 x2
Te 0.5000 0.5000 0.5000 x1



Entry from Alexandria via LeMat-Bulk: a geometry-optimized Pr2Hg3Pb2 structure (GGA-PBE).

As for the electronic total energy: -2.76 eV per atom. The formation energy is -0.206 eV/atom. As for the density of states at the Fermi level: 6.477 states/eV/f.u.

Unit cell a=9.4234 b=9.4234 c=9.4234 alpha=90.00 beta=90.00 gamma=90.00
Space group I2_13 (No. 199)
Asymmetric unit:
Pr 0.2405 0.2405 0.2405 x8
Hg 0.0000 0.2500 0.9867 x12
Pb 0.0621 0.4379 0.5621 x8



Entry from Alexandria via LeMat-Bulk: a geometry-optimized Ru2WSe structure (GGA-PBE).

As for the electronic total energy: -8.26 eV per atom. The formation energy without anion corrections comes out at 0.49 eV per atom. As for the density of states at the Fermi level: 3.977 states/eV/f.u.

Unit cell a=3.8102 b=3.8102 c=8.3157 alpha=90.00 beta=90.00 gamma=90.00
Space group I-4m2 (No. 119)
Asymmetric unit:
Ru 0.0000 0.0000 0.0000 x2
Ru 0.0000 0.5000 0.2500 x2
W 0.0000 0.0000 0.5000 x2
Se 0.0000 0.5000 0.7500 x2



Entry from Alexandria via LeMat-Bulk: a geometry-optimized LaFe3Cl12 structure (GGA-PBE).

As for the electronic total energy: -4.44 eV per atom. The formation energy without anion corrections comes out at -1.16 eV per atom.

Unit cell a=10.9022 b=10.9022 c=32.5350 alpha=90.00 beta=90.00 gamma=120.00
Space group R3c (No. 161, hexagonal axes)
Asymmetric unit:
La 0.0000 0.0000 0.0000 x6
Fe 0.0481 0.3442 0.0540 x18
Cl 0.0126 0.5003 0.6649 x18
Cl 0.1858 0.3942 0.3761 x18
Cl 0.2138 0.4373 0.1033 x18
Cl 0.2175 0.1038 0.0658 x18



Entry from Alexandria via LeMat-Bulk: a geometry-optimized YRu2W structure (GGA-PBE).

As for the electronic total energy: -9.07 eV per atom. The formation energy is 0.420 eV/atom. As for the density of states at the Fermi level: 4.654 states/eV/f.u.

Unit cell a=6.4800 b=6.4800 c=6.4800 alpha=90.00 beta=90.00 gamma=90.00
Space group F-43m (No. 216)
Asymmetric unit:
Y 0.0000 0.0000 0.0000 x4
Ru 0.0000 0.0000 0.5000 x4
Ru 0.2500 0.2500 0.2500 x4
W 0.2500 0.2500 0.7500 x4



Entry from Alexandria via LeMat-Bulk: a geometry-optimized Pr2TcI structure (GGA-PBE).

As for the electronic total energy: -5.60 eV per atom. The formation energy without anion corrections comes out at -0.23 eV per atom. As for the density of states at the Fermi level: 2.619 states/eV/f.u.

Unit cell a=3.9041 b=3.9041 c=27.1485 alpha=90.00 beta=90.00 gamma=120.00
Space group R-3m (No. 166, hexagonal axes)
Asymmetric unit:
Pr 0.0000 0.0000 0.2366 x6
Tc 0.0000 0.0000 0.5000 x3
I 0.0000 0.0000 0.0000 x3



Entry from Alexandria via LeMat-Bulk: a geometry-optimized MgSn2Au structure (GGA-PBE).

As for the electronic total energy: -3.34 eV per atom. The formation energy is -0.123 eV/atom. As for the density of states at the Fermi level: 2.143 states/eV/f.u.

Unit cell a=4.5588 b=4.5588 c=4.3805 alpha=90.00 beta=90.00 gamma=90.00
Space group P4/mmm (No. 123)
Asymmetric unit:
Mg 0.0000 0.0000 0.0000 x1
Sn 0.0000 0.5000 0.5000 x2
Au 0.5000 0.5000 0.0000 x1



Entry from Alexandria via LeMat-Bulk: a geometry-optimized Pm7Hg2Sb2 structure (GGA-PBE).

As for the electronic total energy: -4.09 eV per atom. The formation energy without anion corrections comes out at -0.26 eV per atom. As for the density of states at the Fermi level: 14.714 states/eV/f.u.

Unit cell a=9.8150 b=11.3358 c=6.7964 alpha=90.00 beta=90.00 gamma=90.00
Space group Cmmm (No. 65)
Asymmetric unit:
Pm 0.0000 0.0000 0.0000 x2
Pm 0.0000 0.5000 0.2548 x4
Pm 0.2500 0.2500 0.2617 x8
Hg 0.0000 0.2730 0.0000 x4
Sb 0.2023 0.0000 0.5000 x4



Entry from Alexandria via LeMat-Bulk: a geometry-optimized La2PtN2 structure (GGA-PBE).

As for the electronic total energy: -6.80 eV per atom. The formation energy without anion corrections comes out at -0.29 eV per atom. As for the density of states at the Fermi level: 3.306 states/eV/f.u.

Unit cell a=7.4416 b=7.4416 c=3.2279 alpha=90.00 beta=90.00 gamma=90.00
Space group P4/mbm (No. 127)
Asymmetric unit:
La 0.1559 0.3441 0.0000 x4
Pt 0.0000 0.0000 0.0000 x2
N 0.1557 0.6557 0.5000 x4



Entry from Alexandria via LeMat-Bulk: a geometry-optimized CdAgPtAu3 structure (GGA-PBE).

As for the electronic total energy: -3.37 eV per atom. The formation energy is -0.094 eV/atom. As for the density of states at the Fermi level: 1.717 states/eV/f.u.

Unit cell a=2.9502 b=15.2275 c=9.5509 alpha=90.00 beta=90.00 gamma=90.00
Space group Cmcm (No. 63)
Asymmetric unit:
Cd 0.0000 0.0000 0.0000 x4
Ag 0.0000 0.2179 0.2500 x4
Pt 0.0000 0.4471 0.7500 x4
Au 0.0000 0.1130 0.7500 x4
Au 0.0000 0.3329 0.5014 x8



Entry from Alexandria via LeMat-Bulk: a geometry-optimized La3TlN structure (GGA-PBE).

As for the electronic total energy: -5.54 eV per atom. The formation energy without anion corrections comes out at -0.44 eV per atom. As for the density of states at the Fermi level: 4.351 states/eV/f.u.

Unit cell a=13.6176 b=13.6176 c=13.6176 alpha=90.00 beta=90.00 gamma=90.00
Space group Fd-3m (No. 227, origin choice 2)
Asymmetric unit:
La 0.0659 0.3750 0.3750 x48
Tl 0.0000 0.0000 0.5000 x16
N 0.0000 0.0000 0.0000 x16



Entry from Alexandria via LeMat-Bulk: a geometry-optimized CsNaCd2Sb2 structure (GGA-PBE).

As for the electronic total energy: -2.41 eV per atom. The formation energy without anion corrections comes out at -0.37 eV per atom. As for the density of states at the Fermi level: 0.902 states/eV/f.u.

Unit cell a=4.9301 b=4.9301 c=9.5901 alpha=90.00 beta=90.00 gamma=120.00
Space group P-3m1 (No. 164)
Asymmetric unit:
Cs 0.0000 0.0000 0.0000 x1
Na 0.0000 0.0000 0.5000 x1
Cd 0.3333 0.6667 0.3544 x2
Sb 0.3333 0.6667 0.7109 x2



Entry from Alexandria via LeMat-Bulk: a geometry-optimized LaCd2NiN structure (GGA-PBE).

As for the electronic total energy: -4.06 eV per atom. The formation energy without anion corrections comes out at 0.12 eV per atom. As for the density of states at the Fermi level: 2.845 states/eV/f.u.

Unit cell a=4.5388 b=4.5388 c=4.9761 alpha=90.00 beta=90.00 gamma=90.00
Space group P4/mmm (No. 123)
Asymmetric unit:
La 0.0000 0.0000 0.0000 x1
Cd 0.0000 0.5000 0.5000 x2
Ni 0.5000 0.5000 0.0000 x1
N 0.0000 0.0000 0.5000 x1



Entry from Alexandria via LeMat-Bulk: a geometry-optimized La2Tb9Dy structure (GGA-PBE).

As for the electronic total energy: -4.65 eV per atom. The formation energy is 0.026 eV/atom. As for the density of states at the Fermi level: 19.030 states/eV/f.u.

Unit cell a=5.0797 b=5.0797 c=15.2593 alpha=90.00 beta=90.00 gamma=90.00
Space group P4/mmm (No. 123)
Asymmetric unit:
La 0.0000 0.0000 0.1667 x2
Tb 0.0000 0.5000 0.0000 x2
Tb 0.0000 0.5000 0.3368 x4
Tb 0.5000 0.5000 0.1688 x2
Tb 0.5000 0.5000 0.5000 x1
Dy 0.0000 0.0000 0.5000 x1



Entry from Alexandria via LeMat-Bulk: a geometry-optimized AgGeBr3 structure (GGA-PBE).

As for the electronic total energy: -2.36 eV per atom. The formation energy without anion corrections comes out at 0.14 eV per atom. As for the density of states at the Fermi level: 3.377 states/eV/f.u.

Unit cell a=5.3051 b=5.3051 c=5.3051 alpha=90.00 beta=90.00 gamma=90.00
Space group Pm-3m (No. 221)
Asymmetric unit:
Ag 0.0000 0.0000 0.0000 x1
Ge 0.5000 0.5000 0.5000 x1
Br 0.0000 0.0000 0.5000 x3



Entry from Alexandria via LeMat-Bulk: a geometry-optimized Ho3As2IrRh9 structure (GGA-PBE).

As for the electronic total energy: -6.80 eV per atom. The formation energy is -0.261 eV/atom. As for the density of states at the Fermi level: 15.256 states/eV/f.u.

Unit cell a=6.3028 b=6.3028 c=8.8573 alpha=90.00 beta=90.00 gamma=120.00
Space group P-3m1 (No. 164)
Asymmetric unit:
Ho 0.0000 0.0000 0.0000 x1
Ho 0.3333 0.6667 0.7265 x2
As 0.3333 0.6667 0.1785 x2
Ir 0.0000 0.0000 0.5000 x1
Rh 0.0000 0.5000 0.0000 x3
Rh 0.1402 0.2804 0.2719 x6



Entry from Alexandria via LeMat-Bulk: a geometry-optimized TeNCl structure (GGA-PBE).

As for the electronic total energy: -3.75 eV per atom. The formation energy without anion corrections comes out at 0.69 eV per atom. As for the density of states at the Fermi level: 0.051 states/eV/f.u.

Unit cell a=4.9923 b=5.2456 c=7.0215 alpha=93.55 beta=95.52 gamma=107.07
Space group P-1 (No. 2)
Asymmetric unit:
Te 0.1823 0.3383 0.0819 x2
N 0.0984 0.0536 0.8468 x2
Cl 0.3766 0.0468 0.7177 x2



Entry from Alexandria via LeMat-Bulk: a geometry-optimized Ni5Ru structure (GGA-PBE).

As for the electronic total energy: -6.18 eV per atom. The formation energy is 0.187 eV/atom. As for the density of states at the Fermi level: 7.921 states/eV/f.u.

Unit cell a=6.5633 b=6.5633 c=6.5633 alpha=90.00 beta=90.00 gamma=90.00
Space group F-43m (No. 216)
Asymmetric unit:
Ni 0.0000 0.0000 0.0000 x4
Ni 0.1253 0.1253 0.6253 x16
Ru 0.2500 0.2500 0.2500 x4